Entry from the Alexandria database: an optimized crystal structure of Pu2ScO11 (PBE).

The total energy comes out at -0.6083 Ry per atom. As for the symmetry: Cc (9). The formation energy (no corrections) is -26.33 eV/f.u.

a b c (Å): 7.924 7.924 10.149
angles (deg): 120.80 120.80 71.22
Fractional positions:
Pu 0.111 0.889 0.500
Pu 0.332 0.677 0.988
Pu 0.677 0.332 0.488
Pu 0.889 0.111 0.000
Sc 0.620 0.858 0.492
Sc 0.858 0.620 0.992
O 0.126 0.594 0.986
O 0.173 0.954 0.025
O 0.200 0.614 0.764
O 0.226 0.985 0.728
O 0.261 0.552 0.494
O 0.313 0.437 0.375
O 0.351 0.916 0.507
O 0.437 0.313 0.875
O 0.475 0.739 0.221
O 0.552 0.261 0.994
O 0.572 0.686 0.985
O 0.594 0.126 0.486
O 0.614 0.200 0.264
O 0.686 0.572 0.485
O 0.739 0.475 0.721
O 0.776 0.998 0.762
O 0.818 0.892 0.987
O 0.892 0.818 0.487
O 0.916 0.351 0.007
O 0.954 0.173 0.525
O 0.985 0.226 0.228
O 0.998 0.776 0.262

=====

Entry from the Alexandria database: an optimized crystal structure of ZnHg2Ir (PBE).

The total energy comes out at -0.1723 Ry per atom. As for the symmetry: C2/m (12). Its energy of formation is 340 meV/atom.

a b c (Å): 5.653 5.653 3.138
angles (deg): 105.54 105.54 119.28
Fractional positions:
Zn 0.000 0.000 0.000
Hg 0.000 0.500 0.000
Hg 0.500 0.000 0.000
Ir 0.500 0.500 0.000

=====

Entry from the Alexandria database: an optimized crystal structure of KY2As (PBE).

The total energy comes out at -0.3388 Ry per atom. As for the symmetry: C2/m (12). Its energy of formation is 60 meV/atom.

a b c (Å): 6.495 6.495 3.470
angles (deg): 105.23 105.23 114.15
Fractional positions:
K 0.000 0.000 0.000
Y 0.000 0.500 0.500
Y 0.500 0.000 0.500
As 0.500 0.500 0.000

=====

Entry from the Alexandria database: an optimized crystal structure of KGa2SiTc (PBE).

The total energy comes out at -0.3493 Ry per atom. As for the symmetry: P4/mmm (123). The formation energy (no corrections) is -0.82 eV/f.u.

a b c (Å): 4.933 4.933 4.690
angles (deg): 90.00 90.00 90.00
Fractional positions:
K 0.000 0.000 0.000
Ga 0.000 0.500 0.500
Ga 0.500 0.000 0.500
Si 0.500 0.500 0.000
Tc 0.500 0.500 0.500

=====

Number 3 is which compound?
KY2As

=====

Copy entry 2 word for word.
Entry from the Alexandria database: an optimized crystal structure of ZnHg2Ir (PBE).

The total energy comes out at -0.1723 Ry per atom. As for the symmetry: C2/m (12). Its energy of formation is 340 meV/atom.

a b c (Å): 5.653 5.653 3.138
angles (deg): 105.54 105.54 119.28
Fractional positions:
Zn 0.000 0.000 0.000
Hg 0.000 0.500 0.000
Hg 0.500 0.000 0.000
Ir 0.500 0.500 0.000